[1]
# RbNi3Hg

Crystalline RbNi3Hg at its relaxed geometry (PBE, Alexandria via LeMat-Bulk).

a = 4.9602 Å, b = 4.9602 Å, c = 4.9602 Å
α = 90.00°, β = 90.00°, γ = 90.00°
Last column: nearest neighbours and their distance in Å.
Atoms (fractional coordinates):
Rb: 0.0000 0.0000 0.0000  12 Ni 3.51
Ni: 0.0000 0.5000 0.5000  2 Hg 2.48
Ni: 0.5000 0.0000 0.5000  2 Hg 2.48
Ni: 0.5000 0.5000 0.0000  2 Hg 2.48
Hg: 0.5000 0.5000 0.5000  6 Ni 2.48

Results
DOS at the Fermi energy   11.79 states/eV per cell
Calculated formation energy   1.050 eV per atom
Space group   Pm-3m (221)
Size of the total moment   0.69 Bohr magnetons per cell

[2]
# RbNiHg2Se

Crystalline RbNiHg2Se at its relaxed geometry (PBE, Alexandria via LeMat-Bulk).

a = 5.1963 Å, b = 5.1963 Å, c = 4.9714 Å
α = 90.00°, β = 90.00°, γ = 90.00°
Last column: nearest neighbours and their distance in Å.
Atoms (fractional coordinates):
Rb: 0.0000 0.0000 0.0000  8 Hg 3.60, 4 Se 3.67
Ni: 0.5000 0.5000 0.5000  2 Se 2.49, 4 Hg 2.60
Hg: 0.0000 0.5000 0.5000  2 Ni 2.60
Hg: 0.5000 0.0000 0.5000  2 Ni 2.60
Se: 0.5000 0.5000 0.0000  2 Ni 2.49

Results
DOS at the Fermi energy   3.33 states/eV per cell
Formation energy without anion corrections   -261 meV/atom
Space group   P4/mmm (123)
Size of the total moment   0.00 Bohr magnetons per cell

[3]
# RbNiHgSe2

Crystalline RbNiHgSe2 at its relaxed geometry (PBE, Alexandria via LeMat-Bulk).

a = 5.4358 Å, b = 5.4358 Å, c = 4.9856 Å
α = 90.00°, β = 90.00°, γ = 90.00°
Last column: nearest neighbours and their distance in Å.
Atoms (fractional coordinates):
Rb: 0.0000 0.0000 0.0000  8 Se 3.69, 4 Ni 3.84
Ni: 0.5000 0.5000 0.0000  2 Hg 2.49
Hg: 0.5000 0.5000 0.5000  2 Ni 2.49, 4 Se 2.72
Se: 0.0000 0.5000 0.5000  2 Hg 2.72
Se: 0.5000 0.0000 0.5000  2 Hg 2.72

Results
DOS at the Fermi energy   10.81 states/eV per cell
Formation energy without anion corrections   274 meV/atom
Space group   P4/mmm (123)
Size of the total moment   0.17 Bohr magnetons per cell

[4]
# Rb2SiNiHg

Crystalline Rb2SiNiHg at its relaxed geometry (PBE, Alexandria via LeMat-Bulk).

a = 6.8937 Å, b = 6.8937 Å, c = 4.8353 Å
α = 90.00°, β = 90.00°, γ = 90.00°
Last column: nearest neighbours and their distance in Å.
Atoms (fractional coordinates):
Rb: 0.0000 0.5000 0.0000  2 Si 3.45
Rb: 0.5000 0.0000 0.0000  2 Si 3.45
Si: 0.0000 0.0000 0.0000  2 Hg 2.42
Ni: 0.5000 0.5000 0.5000  8 Rb 4.21
Hg: 0.0000 0.0000 0.5000  2 Si 2.42

Results
DOS at the Fermi energy   11.90 states/eV per cell
Formation energy without anion corrections   751 meV/atom
Space group   P4/mmm (123)
Size of the total moment   1.37 Bohr magnetons per cell